# LaCd2Ag2 PBE-GGA optimized geometry
data_LaCd2Ag2
_space_group_name_H-M_alt 'P -1'
_space_group_IT_number 2
_cell_length_a 5.684
_cell_length_b 6.480
_cell_length_c 8.115
_cell_angle_alpha 81.32
_cell_angle_beta 69.64
_cell_angle_gamma 64.10
loop_
_space_group_symop_operation_xyz
'x,y,z'
'-x,-y,-z'
loop_
_atom_site_label
_atom_site_fract_x
_atom_site_fract_y
_atom_site_fract_z
La1 0.125 0.249 0.250
Cd1 0.167 0.166 0.750
Cd2 0.418 0.664 0.250
Ag1 0.278 0.752 0.944
Ag2 0.471 0.751 0.556
# Relative energy among the computed polymorphs ... 70 meV/atom
# Calculated formation energy ... -0.8 eV per formula unit